# Ac6Ge2Sb3Br | the Alexandria database | PBE | optimized geometry
# Crystal system = monoclinic
# Total magnetic moment = 0.00 μB per formula unit
# ΔE_f (raw) = -1.091 eV/atom
data_Ac6Ge2Sb3Br
_chemical_formula_sum 'Ac12 Ge4 Sb6 Br2'
_cell_length_a 20.498
_cell_length_b 4.696
_cell_length_c 9.442
_cell_angle_alpha 90.00
_cell_angle_beta 103.11
_cell_angle_gamma 90.00
_symmetry_space_group_name_H-M 'C 1 2/m 1'
_symmetry_Int_Tables_number 12
loop_
_symmetry_equiv_pos_as_xyz
'x,y,z'
'-x,-y,-z'
'-x,y,-z'
'x,-y,z'
'x+1/2,y+1/2,z'
'-x+1/2,-y+1/2,-z'
'-x+1/2,y+1/2,-z'
'x+1/2,-y+1/2,z'
loop_
_atom_site_label
_atom_site_fract_x
_atom_site_fract_y
_atom_site_fract_z
_atom_site_occupancy
Ac1 0.007 0.000 0.263 1
Ac2 0.171 0.500 0.575 1
Ac3 0.172 0.500 0.098 1
Ge1 0.165 0.000 0.329 1
Sb1 0.000 0.500 0.500 1
Sb2 0.160 0.000 0.835 1
Br1 0.000 0.500 0.000 1

***

# K2AcIO6 | the Alexandria database | PBE | optimized geometry
# Crystal system = cubic
# Total magnetic moment = 0.00 μB per formula unit
# ΔE_f (raw) = -1.672 eV/atom
data_K2AcIO6
_chemical_formula_sum 'K8 Ac4 I4 O24'
_cell_length_a 8.709
_cell_length_b 8.709
_cell_length_c 8.709
_cell_angle_alpha 90.00
_cell_angle_beta 90.00
_cell_angle_gamma 90.00
_symmetry_space_group_name_H-M 'F m -3 m'
_symmetry_Int_Tables_number 225
_symmetry_space_group_name_Hall '-F 4 2 3'
loop_
_atom_site_label
_atom_site_fract_x
_atom_site_fract_y
_atom_site_fract_z
_atom_site_occupancy
K1 0.250 0.250 0.250 1
Ac1 0.000 0.000 0.000 1
I1 0.000 0.000 0.500 1
O1 0.000 0.000 0.281 1